First-principles (GGA-PBE) data for a geometry-optimized TiTcW structure, as listed in Alexandria.

Unit cell a=3.1305 b=4.3848 c=6.9328 alpha=90.00 beta=77.01 gamma=90.00
Last column: nearest neighbours and their distance in Å.
Sites, in units of the cell vectors:
W 0.0997 0.9765 0.5608  2 Tc 2.67, 4 W 2.70, 2 Ti 2.84
W 0.5899 0.4765 0.5802  2 Tc 2.67, 4 W 2.70, 2 Ti 2.84
Ti 0.2651 0.4765 0.2298  6 Tc 2.69-2.72, 2 W 2.84
Ti 0.4247 0.9765 0.9111  6 Tc 2.69-2.72, 2 W 2.84
Tc 0.9300 0.4765 0.9002  2 W 2.67, 6 Ti 2.69-2.72
Tc 0.7596 0.9765 0.2407  2 W 2.67, 6 Ti 2.69-2.72

Output
Space-group type   Cmcm, No. 63
Excess energy over the best structure of this formula in the dataset   0 meV per atom
Calculated formation energy   -0.373 eV/atom

***

First-principles (GGA-PBE) data for a geometry-optimized CdBP structure, as listed in Alexandria.

Unit cell a=3.2112 b=3.2112 c=16.8800 alpha=90.00 beta=90.00 gamma=120.00
Last column: nearest neighbours and their distance in Å.
Sites, in units of the cell vectors:
B 0.6667 0.3333 0.0411  3 P 1.91
B 0.0000 0.0000 0.7077  3 P 1.91
B 0.3333 0.6667 0.3744  3 P 1.91
P 0.3333 0.6667 0.0693  3 B 1.91
P 0.6667 0.3333 0.7360  3 B 1.91
P 0.0000 0.0000 0.4026  3 B 1.91
Cd 0.6667 0.3333 0.8965  1 B 2.44, 1 P 2.71
Cd 0.0000 0.0000 0.5631  1 B 2.44, 1 P 2.71
Cd 0.3333 0.6667 0.2298  1 B 2.44, 1 P 2.71

Output
Space-group type   R3m, No. 160
Excess energy over the best structure of this formula in the dataset   92 meV per atom
Calculated formation energy   -0.027 eV/atom

***

First-principles (GGA-PBE) data for a geometry-optimized NaCaH2 structure, as listed in Alexandria.

Unit cell a=3.6810 b=3.6810 c=7.0424 alpha=74.85 beta=74.85 gamma=60.00
Last column: nearest neighbours and their distance in Å.
Sites, in units of the cell vectors:
Na 0.0000 0.0000 0.0000  2 H 2.50
H 0.8758 0.8758 0.3727  3 Ca 2.29, 1 Na 2.50
H 0.1242 0.1242 0.6273  3 Ca 2.29, 1 Na 2.50
Ca 0.5000 0.5000 0.5000  6 H 2.29

Output
Space-group type   R-3m, No. 166
Excess energy over the best structure of this formula in the dataset   0 meV per atom

***

First-principles (GGA-PBE) data for a geometry-optimized AcPr7Y12 structure, as listed in Alexandria.

Unit cell a=9.9172 b=9.9172 c=9.9172 alpha=109.47 beta=109.47 gamma=109.47
Last column: nearest neighbours and their distance in Å.
Sites, in units of the cell vectors:
Y 0.7469 0.2531 0.0000  2 Pr 2.86
Y 0.4938 0.7469 0.7469  2 Pr 2.86
Y 0.2531 0.7469 0.0000  2 Pr 2.86
Y 0.7469 0.4938 0.7469  2 Pr 2.86
Y 0.7469 0.0000 0.2531  2 Pr 2.86
Y 0.5062 0.2531 0.2531  2 Pr 2.86
Y 0.7469 0.7469 0.4938  2 Pr 2.86
Y 0.0000 0.7469 0.2531  2 Pr 2.86
Y 0.2531 0.5062 0.2531  2 Pr 2.86
Y 0.2531 0.2531 0.5062  2 Pr 2.86
Y 0.0000 0.2531 0.7469  2 Pr 2.86
Y 0.2531 0.0000 0.7469  2 Pr 2.86
Ac 0.0000 0.0000 0.0000  12 Y 4.10
Pr 0.5000 0.5000 0.0000  12 Y 4.00-4.05
Pr 0.5000 0.0000 0.0000  6 Y 2.86
Pr 0.0000 0.0000 0.5000  6 Y 2.86
Pr 0.0000 0.5000 0.5000  12 Y 4.00-4.05
Pr 0.5000 0.0000 0.5000  12 Y 4.00-4.05
Pr 0.5000 0.5000 0.5000  6 Y 2.86
Pr 0.0000 0.5000 0.0000  6 Y 2.86

Output
Space-group type   Im-3m, No. 229
Excess energy over the best structure of this formula in the dataset   362 meV per atom
Calculated formation energy   0.585 eV/atom

***

First-principles (GGA-PBE) data for a geometry-optimized YW3I structure, as listed in Alexandria.

Unit cell a=4.9158 b=4.9158 c=4.9158 alpha=90.00 beta=90.00 gamma=90.00
Last column: nearest neighbours and their distance in Å.
Sites, in units of the cell vectors:
I 0.0000 0.0000 0.0000  6 W 2.46
Y 0.5000 0.5000 0.5000  12 W 3.48
W 0.0000 0.0000 0.5000  2 I 2.46
W 0.5000 0.0000 0.0000  2 I 2.46
W 0.0000 0.5000 0.0000  2 I 2.46

Output
Space-group type   Pm-3m, No. 221
Excess energy over the best structure of this formula in the dataset   0 meV per atom

***

First-principles (GGA-PBE) data for a geometry-optimized LaPrTh2 structure, as listed in Alexandria.

Unit cell a=3.6267 b=3.6267 c=12.1298 alpha=81.40 beta=81.40 gamma=60.00
Last column: nearest neighbours and their distance in Å.
Sites, in units of the cell vectors:
Th 0.2497 0.2497 0.2509  6 Th 3.63, 3 La 3.68, 3 Pr 3.71
Th 0.0834 0.0834 0.7499  3 Pr 3.60, 3 La 3.60, 6 Th 3.63
Pr 0.6684 0.6684 0.9948  6 Th 3.60-3.71, 6 Pr 3.63
La 0.4985 0.4985 0.5044  6 Th 3.60-3.68, 6 La 3.63

Output
Space-group type   R3m, No. 160
Excess energy over the best structure of this formula in the dataset   38 meV per atom
Calculated formation energy   0.063 eV/atom

***

First-principles (GGA-PBE) data for a geometry-optimized CeTmP2Rh2 structure, as listed in Alexandria.

Unit cell a=4.0984 b=4.0984 c=7.6240 alpha=90.00 beta=90.00 gamma=120.00
Last column: nearest neighbours and their distance in Å.
Sites, in units of the cell vectors:
P 0.3333 0.6667 0.2484  3 Rh 2.37
P 0.6667 0.3333 0.7516  3 Rh 2.37
Tm 0.0000 0.0000 0.5000  6 Rh 2.97, 6 P 3.05
Ce 0.0000 0.0000 0.0000  6 P 3.03, 6 Rh 3.10
Rh 0.3333 0.6667 0.7364  3 P 2.37
Rh 0.6667 0.3333 0.2636  3 P 2.37

Output
Space-group type   P-3m1, No. 164
Calculated formation energy   -1.247 eV/atom

***

First-principles (GGA-PBE) data for a geometry-optimized Si2HgSe structure, as listed in Alexandria.

Unit cell a=7.6590 b=7.6590 c=4.1969 alpha=61.73 beta=61.73 gamma=25.76
Last column: nearest neighbours and their distance in Å.
Sites, in units of the cell vectors:
Se 0.7260 0.7260 0.9701  2 Si 2.43
Si 0.3204 0.3204 0.0952  2 Se 2.43, 2 Si 2.45
Si 0.9456 0.9456 0.0306  2 Si 2.45
Hg 0.5080 0.5080 0.4041  5 Si 2.77-2.89, 1 Se 2.86

Output
Space-group type   Cm, No. 8
Excess energy over the best structure of this formula in the dataset   170 meV per atom

***

First-principles (GGA-PBE) data for a geometry-optimized CoAg2Sb structure, as listed in Alexandria.

Unit cell a=4.9388 b=4.9388 c=3.2797 alpha=90.00 beta=90.00 gamma=113.56
Last column: nearest neighbours and their distance in Å.
Sites, in units of the cell vectors:
Co 0.5000 0.0000 0.5000  2 Sb 2.71, 8 Ag 2.96
Ag 0.5000 0.5000 0.0000  2 Ag 2.71, 4 Co 2.96, 4 Sb 2.96
Ag 0.0000 0.0000 0.0000  2 Ag 2.71, 4 Sb 2.96, 4 Co 2.96
Sb 0.0000 0.5000 0.5000  2 Co 2.71, 8 Ag 2.96

Output
Total energy   -3.84 eV/atom
Space-group type   Cmmm, No. 65

***

First-principles (GGA-PBE) data for a geometry-optimized Y5Cu3 structure, as listed in Alexandria.

Unit cell a=9.0214 b=9.7392 c=8.7634 alpha=104.80 beta=99.15 gamma=139.33
Last column: nearest neighbours and their distance in Å.
Sites, in units of the cell vectors:
Cu 0.8494 0.6363 0.5192  6 Y 2.81-2.96
Cu 0.7607 0.3038 0.8435  1 Cu 2.57, 1 Y 2.80
Cu 0.6955 0.6964 0.0056  1 Cu 2.51, 1 Y 2.76
Cu 0.3043 0.3034 0.9938  1 Cu 2.51, 1 Y 2.76
Cu 0.2396 0.6966 0.1559  1 Cu 2.57, 1 Y 2.80
Cu 0.1505 0.3639 0.4801  6 Y 2.81-2.97
Y 0.6813 0.2261 0.4471  2 Cu 2.80-2.81
Y 0.8155 0.5483 0.1697  5 Cu 2.86-2.93
Y 0.2574 0.2077 0.2664  4 Cu 2.76-2.92
Y 0.1845 0.4516 0.8297  5 Cu 2.86-2.93
Y 0.6554 0.8140 0.3264  4 Cu 2.91-3.00
Y 0.8342 0.1729 0.0922  3 Cu 2.97-3.05
Y 0.3194 0.7745 0.5521  2 Cu 2.80-2.81
Y 0.7423 0.7921 0.7329  4 Cu 2.76-2.92
Y 0.1658 0.8271 0.9069  3 Cu 2.96-3.05
Y 0.3448 0.1860 0.6729  4 Cu 2.91-3.00

Output
Space-group type   P-1, No. 2
Excess energy over the best structure of this formula in the dataset   18 meV per atom
Calculated formation energy   -0.145 eV/atom

***

First-principles (GGA-PBE) data for a geometry-optimized SrMoSe structure, as listed in Alexandria.

Unit cell a=4.2720 b=4.2720 c=4.8503 alpha=90.00 beta=90.00 gamma=120.00
Last column: nearest neighbours and their distance in Å.
Sites, in units of the cell vectors:
Sr 0.6667 0.3333 0.6659  6 Se 3.45-3.47, 6 Mo 3.46
Se 0.3333 0.6667 0.1677  3 Mo 2.47
Mo 0.0000 0.0000 0.1664  3 Se 2.47

Output
Space-group type   P3m1, No. 156
Excess energy over the best structure of this formula in the dataset   84 meV per atom

***

First-principles (GGA-PBE) data for a geometry-optimized Ca3PmRh2 structure, as listed in Alexandria.

Unit cell a=4.4857 b=7.5045 c=9.1091 alpha=90.00 beta=90.00 gamma=90.00
Last column: nearest neighbours and their distance in Å.
Sites, in units of the cell vectors:
Pm 0.5000 0.5294 0.5796  3 Rh 2.93-3.07
Pm 0.5000 0.0294 0.4204  3 Rh 2.93-3.07
Rh 0.5000 0.2309 0.1447  6 Ca 2.86-3.17, 1 Pm 2.93
Rh 0.0000 0.2531 0.6171  5 Ca 2.91-3.18, 2 Pm 3.07
Rh 0.0000 0.7531 0.3829  5 Ca 2.91-3.18, 2 Pm 3.07
Rh 0.5000 0.7309 0.8553  6 Ca 2.86-3.17, 1 Pm 2.93
Ca 0.5000 0.6513 0.1773  4 Rh 2.99-3.17
Ca 0.0000 0.9769 0.0866  3 Rh 2.99-3.18
Ca 0.5000 0.1513 0.8227  4 Rh 2.99-3.17
Ca 0.0000 0.3585 0.3097  4 Rh 2.86-3.04
Ca 0.0000 0.8585 0.6903  4 Rh 2.86-3.04
Ca 0.0000 0.4769 0.9134  3 Rh 2.99-3.18

Output
Space-group type   Pmc2_1, No. 26
Calculated formation energy   -0.412 eV/atom

***

First-principles (GGA-PBE) data for a geometry-optimized PuMgTlRu structure, as listed in Alexandria.

Unit cell a=3.2562 b=3.2562 c=8.0920 alpha=90.00 beta=90.00 gamma=90.00
Last column: nearest neighbours and their distance in Å.
Sites, in units of the cell vectors:
Tl 0.0000 0.0000 0.0515  4 Mg 3.20, 4 Tl 3.26, 4 Pu 3.48
Mg 0.5000 0.5000 0.7766  4 Ru 2.79
Ru 0.0000 0.0000 0.5825  4 Mg 2.79, 4 Pu 2.85
Pu 0.5000 0.5000 0.3740  4 Ru 2.85

Output
Space-group type   P4mm, No. 99
Calculated formation energy   -0.073 eV/atom

***

First-principles (GGA-PBE) data for a geometry-optimized Cr2NiOs structure, as listed in Alexandria.

Unit cell a=4.4534 b=4.4534 c=4.4522 alpha=131.42 beta=131.42 gamma=71.17
Last column: nearest neighbours and their distance in Å.
Sites, in units of the cell vectors:
Cr 0.5000 0.5000 0.0000  4 Os 2.58, 4 Ni 2.58, 4 Cr 2.59
Cr 0.0000 0.0000 0.0000  4 Os 2.58, 4 Ni 2.58, 4 Cr 2.59
Os 0.2500 0.7500 0.5000  8 Cr 2.58, 4 Ni 2.59
Ni 0.7500 0.2500 0.5000  8 Cr 2.58, 4 Os 2.59

Output
Space-group type   I4/mmm, No. 139
Calculated formation energy   0.017 eV/atom

***

First-principles (GGA-PBE) data for a geometry-optimized HgIrAu2 structure, as listed in Alexandria.

Unit cell a=5.0816 b=5.0816 c=4.9658 alpha=77.78 beta=77.78 gamma=34.83
Last column: nearest neighbours and their distance in Å.
Sites, in units of the cell vectors:
Au 0.7471 0.7471 0.7635  5 Au 2.87-3.04, 4 Ir 2.90-2.92, 3 Hg 2.97-3.01
Au 0.9930 0.9930 0.9959  3 Ir 2.84-3.09, 5 Au 2.87-3.04, 4 Hg 2.88-2.95
Hg 0.5066 0.5066 0.4828  3 Ir 2.85-2.91, 7 Au 2.88-3.01, 2 Hg 3.04
Ir 0.2533 0.2533 0.2578  7 Au 2.84-3.09, 3 Hg 2.85-2.91, 2 Ir 3.04

Output
Space-group type   Cm, No. 8
Calculated formation energy   0.352 eV/atom

***

First-principles (GGA-PBE) data for a geometry-optimized Tb2ReO6 structure, as listed in Alexandria.

Unit cell a=5.4659 b=5.7781 c=7.9385 alpha=90.00 beta=96.85 gamma=90.00
Last column: nearest neighbours and their distance in Å.
Sites, in units of the cell vectors:
O 0.6402 0.2324 0.9035  1 Re 1.93
O 0.7081 0.1729 0.5526  1 Re 1.97
O 0.6649 0.4183 0.2204  1 Re 1.93
O 0.3351 0.5817 0.7796  1 Re 1.93
O 0.2919 0.8271 0.4474  1 Re 1.97
O 0.3598 0.7676 0.0965  1 Re 1.93
O 0.8598 0.7324 0.5965  1 Re 1.93
O 0.2081 0.3271 0.0526  1 Re 1.97
O 0.1649 0.0817 0.7204  1 Re 1.93
O 0.7919 0.6729 0.9474  1 Re 1.97
O 0.8351 0.9183 0.2796  1 Re 1.93
O 0.1402 0.2676 0.4035  1 Re 1.93
Tb 0.4588 0.0855 0.2670  6 O 2.26-2.48
Tb 0.9588 0.4145 0.7670  6 O 2.26-2.48
Tb 0.0412 0.5855 0.2330  6 O 2.26-2.48
Tb 0.5412 0.9145 0.7330  6 O 2.26-2.48
Re 0.5000 0.5000 0.0000  6 O 1.93-1.97
Re 0.0000 0.0000 0.5000  6 O 1.93-1.97

Output
Total energy   -8.36 eV/atom
Space-group type   P2_1/c, No. 14

***

First-principles (GGA-PBE) data for a geometry-optimized RbNd2Sm3Se6 structure, as listed in Alexandria.

Unit cell a=4.2097 b=8.7115 c=9.5856 alpha=103.58 beta=102.68 gamma=90.00
Last column: nearest neighbours and their distance in Å.
Sites, in units of the cell vectors:
Se 0.3248 0.9167 0.6495  3 Sm 2.92-3.07, 2 Nd 3.13, 1 Rb 3.18
Se 0.6634 0.5871 0.3268  3 Sm 2.94-2.97, 3 Nd 3.00
Se 0.0016 0.2723 0.0031  3 Sm 2.90-3.00, 1 Nd 3.09, 2 Rb 3.17
Se 0.9984 0.7277 0.9969  3 Sm 2.90-3.00, 1 Nd 3.09, 2 Rb 3.17
Se 0.3366 0.4129 0.6732  3 Sm 2.94-2.97, 3 Nd 3.00
Se 0.6752 0.0833 0.3505  3 Sm 2.92-3.07, 2 Nd 3.13, 1 Rb 3.18
Rb 0.5000 0.0000 0.0000  6 Se 3.17-3.18
Sm 0.1638 0.8222 0.3275  6 Se 2.92-3.07
Sm 0.8362 0.1778 0.6725  6 Se 2.92-3.07
Sm 0.5000 0.5000 0.0000  6 Se 2.90-2.97
Nd 0.1714 0.3472 0.3429  6 Se 3.00-3.13
Nd 0.8286 0.6528 0.6571  6 Se 3.00-3.13

Output
Total energy   -5.55 eV/atom
Space-group type   C2/m, No. 12

***

First-principles (GGA-PBE) data for a geometry-optimized Re5W4 structure, as listed in Alexandria.

Unit cell a=6.8608 b=6.8608 c=6.8608 alpha=93.00 beta=93.00 gamma=153.55
Last column: nearest neighbours and their distance in Å.
Sites, in units of the cell vectors:
W 0.0000 0.6679 0.6679  4 Re 2.72, 4 W 2.74
W 0.0000 0.3321 0.3321  4 Re 2.72, 4 W 2.74
W 0.6679 0.0000 0.6679  4 Re 2.72, 4 W 2.74
W 0.3321 0.0000 0.3321  4 Re 2.72, 4 W 2.74
Re 0.6658 0.3342 0.0000  4 Re 2.71-2.74, 4 W 2.72
Re 0.3342 0.6658 0.0000  4 Re 2.71-2.74, 4 W 2.72
Re 0.6658 0.6658 0.3317  4 Re 2.71-2.74, 4 W 2.72
Re 0.0000 0.0000 0.0000  8 Re 2.71
Re 0.3342 0.3342 0.6683  4 Re 2.71-2.74, 4 W 2.72

Output
Space-group type   I4/mmm, No. 139
Calculated formation energy   0.150 eV/atom

***

First-principles (GGA-PBE) data for a geometry-optimized Pm4PrEr8 structure, as listed in Alexandria.

Unit cell a=7.3701 b=7.3701 c=9.9278 alpha=90.00 beta=111.79 gamma=120.00
Last column: nearest neighbours and their distance in Å.
Sites, in units of the cell vectors:
Pm 0.5000 0.5000 0.0000  6 Er 3.60-3.75, 6 Pm 3.69
Pm 0.5000 0.0000 0.0000  6 Er 3.60-3.75, 6 Pm 3.69
Pm 0.0000 0.0000 0.0000  6 Er 3.36, 6 Pm 3.69
Pm 0.0000 0.5000 0.0000  6 Er 3.60-3.75, 6 Pm 3.69
Er 0.0620 0.8121 0.3118  1 Pr 2.93, 2 Er 3.23
Er 0.0620 0.2498 0.3118  1 Pr 2.93, 2 Er 3.23
Er 0.5003 0.7502 0.6882  1 Pr 2.93, 2 Er 3.23
Er 0.9380 0.1879 0.6882  1 Pr 2.93, 2 Er 3.23
Er 0.4997 0.2498 0.3118  1 Pr 2.93, 2 Er 3.23
Er 0.9380 0.7502 0.6882  1 Pr 2.93, 2 Er 3.23
Er 0.5627 0.7814 0.3441  9 Er 3.60-3.71, 3 Pm 3.75
Er 0.4373 0.2186 0.6559  9 Er 3.60-3.71, 3 Pm 3.75
Pr 0.0000 0.5000 0.5000  6 Er 2.93

Output
Space-group type   R-3m, No. 166
Calculated formation energy   0.198 eV/atom

***

First-principles (GGA-PBE) data for a geometry-optimized SiHgI3 structure, as listed in Alexandria.

Unit cell a=5.6178 b=5.6178 c=5.6178 alpha=90.00 beta=90.00 gamma=90.00
Last column: nearest neighbours and their distance in Å.
Sites, in units of the cell vectors:
Hg 0.5000 0.5000 0.5000  12 I 3.97
Si 0.0000 0.0000 0.0000  6 I 2.81
I 0.5000 0.0000 0.0000  2 Si 2.81
I 0.0000 0.5000 0.0000  2 Si 2.81
I 0.0000 0.0000 0.5000  2 Si 2.81

Output
Space-group type   Pm-3m, No. 221
Excess energy over the best structure of this formula in the dataset   173 meV per atom

***

| no. | magnetic moment (μB per cell) |
| --- | --- |
| 1 | 0.0 |
| 2 | 0.0 |
| 3 | 0.0 |
| 4 | 0.0 |
| 5 | 1.3 |
| 6 | 0.0 |
| 7 | 0.0 |
| 8 | 0.0 |
| 9 | 1.5 |
| 10 | 0.0 |
| 11 | 0.3 |
| 12 | 0.0 |
| 13 | 4.7 |
| 14 | 0.0 |
| 15 | 0.0 |
| 16 | 2.0 |
| 17 | 0.0 |
| 18 | 0.0 |
| 19 | 0.0 |
| 20 | 0.0 |